Entry 1:
Here is La3Ni2Sn4 after structural relaxation from the Alexandria database. Energies are from PBE.

Lattice parameters (Å, degrees): 4.626 6.341 8.902 100.73 90.00 111.39
Element x y z (fractional)
La 0.653 0.305 0.658
La 0.000 0.000 0.000
La 0.347 0.695 0.342
Ni 0.592 0.184 0.278
Ni 0.408 0.816 0.722
Sn 0.722 0.443 0.085
Sn 0.278 0.557 0.915
Sn 0.930 0.861 0.619
Sn 0.070 0.139 0.381

- formation energy from the elements (eV/atom) = -0.65
- total moment (μB per formula unit) = 0.0
- crystal system = monoclinic
- calculated volume (Å³/cell) = 238.2
- raw total energy (eV per atom) = -5.36
- E above lowest polymorph (eV/f.u.) = 0.18


Entry 2:
Here is LaNi12Sn6 after structural relaxation from the Alexandria database. Energies are from PBE.

Lattice parameters (Å, degrees): 7.008 7.008 7.008 103.12 103.12 103.12
Element x y z (fractional)
La 0.000 0.000 0.000
Ni 0.890 0.110 0.500
Ni 0.887 0.643 0.643
Ni 0.643 0.643 0.887
Ni 0.357 0.113 0.357
Ni 0.357 0.357 0.113
Ni 0.113 0.357 0.357
Ni 0.110 0.500 0.890
Ni 0.500 0.890 0.110
Ni 0.110 0.890 0.500
Ni 0.890 0.500 0.110
Ni 0.500 0.110 0.890
Ni 0.643 0.887 0.643
Sn 0.695 0.273 0.273
Sn 0.273 0.273 0.695
Sn 0.273 0.695 0.273
Sn 0.727 0.727 0.305
Sn 0.305 0.727 0.727
Sn 0.727 0.305 0.727

- formation energy from the elements (eV/atom) = -0.08
- total moment (μB per formula unit) = 0.0
- crystal system = trigonal
- calculated volume (Å³/cell) = 312.1
- raw total energy (eV per atom) = -5.26


Entry 3:
Here is La4NiSn after structural relaxation from the Alexandria database. Energies are from PBE.

Lattice parameters (Å, degrees): 6.002 7.087 9.592 90.00 116.35 90.00
Element x y z (fractional)
La 0.563 0.250 0.458
La 0.437 0.750 0.542
La 0.693 0.250 0.890
La 0.307 0.750 0.110
La 0.900 0.007 0.273
La 0.100 0.507 0.727
La 0.900 0.493 0.273
La 0.100 0.993 0.727
Ni 0.201 0.250 0.551
Ni 0.799 0.750 0.449
Sn 0.312 0.250 0.076
Sn 0.688 0.750 0.924

- formation energy from the elements (eV/atom) = -0.39
- total moment (μB per formula unit) = 0.0
- crystal system = monoclinic
- calculated volume (Å³/cell) = 365.6
- raw total energy (eV per atom) = -5.31
- E above lowest polymorph (eV/f.u.) = 0.00


Entry 4:
Here is La2Ni2Sn3 after structural relaxation from the Alexandria database. Energies are from PBE.

Lattice parameters (Å, degrees): 4.322 5.832 7.562 112.12 90.00 111.75
Element x y z (fractional)
La 0.852 0.704 0.206
La 0.148 0.296 0.794
Ni 0.856 0.711 0.761
Ni 0.144 0.289 0.239
Sn 0.500 0.000 0.000
Sn 0.627 0.254 0.448
Sn 0.373 0.746 0.552

- formation energy from the elements (eV/atom) = -0.53
- total moment (μB per formula unit) = 0.0
- crystal system = monoclinic
- calculated volume (Å³/cell) = 161.8
- raw total energy (eV per atom) = -5.30
- E above lowest polymorph (eV/f.u.) = 0.36


Entry 5:
Here is LaNi3Sn after structural relaxation from the Alexandria database. Energies are from PBE.

Lattice parameters (Å, degrees): 4.726 4.726 4.726 90.00 90.00 90.00
Element x y z (fractional)
Ni 0.000 0.500 0.000
Ni 0.000 0.000 0.500
Ni 0.500 0.000 0.000
Sn 0.000 0.000 0.000
La 0.500 0.500 0.500

- formation energy from the elements (eV/atom) = 0.17
- total moment (μB per formula unit) = 0.0
- crystal system = cubic
- calculated volume (Å³/cell) = 105.5
- raw total energy (eV per atom) = -5.09
- E above lowest polymorph (eV/f.u.) = 1.17


Entry 6:
Here is SrLa2NiSn after structural relaxation from the Alexandria database. Energies are from PBE.

Lattice parameters (Å, degrees): 5.500 5.500 5.179 90.00 90.00 90.00
Element x y z (fractional)
Sr 0.500 0.500 0.500
Ni 0.000 0.000 0.000
Sn 0.000 0.000 0.500
La 0.000 0.500 0.000
La 0.500 0.000 0.000

- formation energy from the elements (eV/atom) = -0.28
- total moment (μB per formula unit) = 0.0
- crystal system = tetragonal
- calculated volume (Å³/cell) = 156.7
- raw total energy (eV per atom) = -4.55
- E above lowest polymorph (eV/f.u.) = 0.18


Entry 7:
Here is SrLa2NiSn after structural relaxation from the Alexandria database. Energies are from PBE.

Lattice parameters (Å, degrees): 5.355 5.355 5.648 90.00 90.00 90.00
Element x y z (fractional)
Sr 0.000 0.000 0.500
Ni 0.000 0.000 0.000
Sn 0.500 0.500 0.500
La 0.000 0.500 0.000
La 0.500 0.000 0.000

- formation energy from the elements (eV/atom) = -0.32
- total moment (μB per formula unit) = 0.0
- crystal system = tetragonal
- calculated volume (Å³/cell) = 161.9
- raw total energy (eV per atom) = -4.58
- E above lowest polymorph (eV/f.u.) = 0.00


Entry 8:
Here is LaV2NiSn after structural relaxation from the Alexandria database. Energies are from PBE.

Lattice parameters (Å, degrees): 4.831 4.831 4.641 90.00 90.00 90.00
Last column: magnetic moment on the atom in μB.
Element x y z (fractional)
Ni 0.000 0.000 0.500  0.20
V 0.000 0.500 0.000  1.53
V 0.500 0.000 0.000  1.53
Sn 0.500 0.500 0.500  -0.04
La 0.000 0.000 0.000  0.08

- formation energy from the elements (eV/atom) = 1.47
- total moment (μB per formula unit) = 3.6
- crystal system = tetragonal
- calculated volume (Å³/cell) = 108.3
- raw total energy (eV per atom) = -5.12